[1]
Gd2ErH: optimized geometry, PBE.

## Properties
symmetry: R-3m, No. 166
total magnetization: 14.5 μB per formula unit
total DFT energy (no corrections): -0.338 hartree per atom

Cell lengths 3.606, 3.606, 8.766 Å; angles 78.13, 78.13, 60.00 degrees
Element x y z (fractional)
Gd (0.278, 0.278, 0.166)
Er (0.500, 0.500, 0.500)
H (0.000, 0.000, 0.000)
Gd (0.722, 0.722, 0.834)



[2]
Nd6Te5Ir: optimized geometry, PBE.

## Properties
symmetry: C2/m, No. 12
total magnetization: 0.0 μB per formula unit
total DFT energy (no corrections): -0.212 hartree per atom

Cell lengths 7.758, 8.982, 7.777 Å; angles 106.96, 99.67, 124.95 degrees
Element x y z (fractional)
Te (0.000, 0.500, 0.000)
Nd (0.152, 0.926, 0.300)
Nd (0.543, 0.779, 0.000)
Nd (0.457, 0.221, 0.000)
Nd (0.848, 0.074, 0.700)
Nd (0.852, 0.626, 0.700)
Ir (0.000, 0.000, 0.000)
Te (0.679, 0.179, 0.359)
Te (0.336, 0.336, 0.671)
Nd (0.148, 0.374, 0.300)
Te (0.664, 0.664, 0.329)
Te (0.321, 0.821, 0.641)



[3]
VCuBi3: optimized geometry, PBE.

## Properties
ΔH_f (0 K): 366 kJ/mol of formula units
symmetry: Pm-3m, No. 221
total magnetization: 3.7 μB per formula unit
total DFT energy (no corrections): -0.155 hartree per atom

Cell lengths 5.228, 5.228, 5.228 Å; angles 90.00, 90.00, 90.00 degrees
Element x y z (fractional)
Bi (0.000, 0.500, 0.000)
Cu (0.000, 0.000, 0.000)
Bi (0.000, 0.000, 0.500)
V (0.500, 0.500, 0.500)
Bi (0.500, 0.000, 0.000)



[4]
YIn2Pt: optimized geometry, PBE.

## Properties
ΔH_f (0 K): -148 kJ/mol of formula units
symmetry: C2/m, No. 12
total magnetization: 0.0 μB per formula unit
total DFT energy (no corrections): -0.179 hartree per atom

Cell lengths 6.347, 4.198, 4.145 Å; angles 89.12, 71.25, 109.01 degrees
Element x y z (fractional)
Pt (0.500, 0.500, 0.000)
Y (0.500, 0.000, 0.500)
In (0.000, 0.500, 0.500)
In (0.000, 0.000, 0.000)



[5]
Nd2Sm4Sn3H2: optimized geometry, PBE.

## Properties
symmetry: I4/mmm, No. 139
total magnetization: 0.0 μB per formula unit
total DFT energy (no corrections): -0.178 hartree per atom

Cell lengths 4.781, 4.781, 13.235 Å; angles 100.41, 100.41, 90.00 degrees
Element x y z (fractional)
H (0.398, 0.398, 0.797)
Sm (0.418, 0.918, 0.835)
Sm (0.582, 0.082, 0.165)
Sm (0.918, 0.418, 0.835)
Sm (0.082, 0.582, 0.165)
Sn (0.174, 0.174, 0.347)
Sn (0.826, 0.826, 0.653)
Nd (0.301, 0.301, 0.601)
Nd (0.699, 0.699, 0.399)
H (0.602, 0.602, 0.203)
Sn (0.000, 0.000, 0.000)



[6]
Cs2KSeBr6: optimized geometry, PBE.

## Properties
symmetry: I4/mmm, No. 139
total magnetization: 1.0 μB per formula unit
total DFT energy (no corrections): -0.098 hartree per atom

Cell lengths 8.447, 8.447, 8.283 Å; angles 59.34, 59.34, 90.00 degrees
Element x y z (fractional)
Cs (0.750, 0.250, 0.500)
Br (0.224, 0.224, 0.553)
K (0.500, 0.500, 0.000)
Cs (0.250, 0.750, 0.500)
Br (0.776, 0.776, 0.447)
Br (0.236, 0.764, 0.000)
Br (0.764, 0.236, 0.000)
Se (0.000, 0.000, 0.000)
Br (0.764, 0.764, 0.000)
Br (0.236, 0.236, 0.000)



[7]
Pm3PrYEr: optimized geometry, PBE.

## Properties
ΔH_f (0 K): 12 kJ/mol of formula units
symmetry: P2_1/m, No. 11
total magnetization: 0.0 μB per formula unit
total DFT energy (no corrections): -0.183 hartree per atom

Cell lengths 5.142, 8.091, 10.858 Å; angles 116.38, 90.00, 90.00 degrees
Element x y z (fractional)
Pm (0.750, 0.378, 0.209)
Er (0.750, 0.875, 0.375)
Pr (0.250, 0.124, 0.293)
Y (0.250, 0.625, 0.126)
Pm (0.750, 0.372, 0.542)
Er (0.250, 0.125, 0.625)
Pr (0.750, 0.876, 0.707)
Pm (0.250, 0.126, 0.958)
Pm (0.250, 0.622, 0.791)
Y (0.750, 0.375, 0.874)
Pm (0.250, 0.628, 0.458)
Pm (0.750, 0.874, 0.042)



[8]
SrLiAlIn: optimized geometry, PBE.

## Properties
ΔH_f (0 K): -64 kJ/mol of formula units
symmetry: F-43m, No. 216
total magnetization: 0.0 μB per formula unit
total DFT energy (no corrections): -0.099 hartree per atom

Cell lengths 5.153, 5.153, 5.153 Å; angles 60.00, 60.00, 60.00 degrees
Element x y z (fractional)
Sr (0.250, 0.250, 0.250)
Al (0.500, 0.500, 0.500)
In (0.750, 0.750, 0.750)
Li (0.000, 0.000, 0.000)



[9]
Nd3TlRh8: optimized geometry, PBE.

## Properties
ΔH_f (0 K): -576 kJ/mol of formula units
symmetry: R3m, No. 160
total magnetization: 0.0 μB per formula unit
total DFT energy (no corrections): -0.249 hartree per atom

Cell lengths 5.378, 5.378, 9.406 Å; angles 73.39, 73.39, 60.00 degrees
Element x y z (fractional)
Rh (0.937, 0.937, 0.687)
Rh (0.938, 0.437, 0.187)
Rh (0.437, 0.938, 0.187)
Nd (0.995, 0.995, 0.014)
Rh (0.188, 0.188, 0.436)
Nd (0.504, 0.504, 0.488)
Tl (0.874, 0.874, 0.379)
Rh (0.437, 0.437, 0.187)
Rh (0.439, 0.937, 0.687)
Rh (0.937, 0.439, 0.687)
Nd (0.376, 0.376, 0.873)
Rh (0.688, 0.688, 0.937)



[10]
GeIrRh: optimized geometry, PBE.

## Properties
ΔH_f (0 K): -47 kJ/mol of formula units
symmetry: C2/m, No. 12
total magnetization: 0.0 μB per formula unit
total DFT energy (no corrections): -0.261 hartree per atom

Cell lengths 3.907, 3.907, 6.052 Å; angles 84.84, 84.84, 88.35 degrees
Element x y z (fractional)
Ge (0.702, 0.702, 0.274)
Rh (0.790, 0.790, 0.654)
Ge (0.298, 0.298, 0.726)
Ir (0.754, 0.246, 0.000)
Rh (0.210, 0.210, 0.346)
Ir (0.246, 0.754, 0.000)



[11]
DyYScCd: optimized geometry, PBE.

## Properties
ΔH_f (0 K): -51 kJ/mol of formula units
symmetry: P4mm, No. 99
total magnetization: 0.0 μB per formula unit
total DFT energy (no corrections): -0.173 hartree per atom

Cell lengths 3.541, 3.541, 8.757 Å; angles 90.00, 90.00, 90.00 degrees
Element x y z (fractional)
Cd (0.000, 0.000, 0.570)
Dy (0.500, 0.500, 0.329)
Y (0.500, 0.500, 0.813)
Sc (0.000, 0.000, 0.073)



[12]
In2TeMo: optimized geometry, PBE.

## Properties
symmetry: Cmmm, No. 65
total magnetization: 0.0 μB per formula unit
total DFT energy (no corrections): -0.160 hartree per atom

Cell lengths 5.595, 5.595, 3.015 Å; angles 90.00, 90.00, 109.50 degrees
Element x y z (fractional)
In (0.000, 0.000, 0.000)
Mo (0.500, 0.000, 0.500)
In (0.500, 0.500, 0.000)
Te (0.000, 0.500, 0.500)



[13]
MnInCl3: optimized geometry, PBE.

## Properties
symmetry: P2_1/m, No. 11
total magnetization: 5.0 μB per formula unit
total DFT energy (no corrections): -0.164 hartree per atom

Cell lengths 3.802, 8.516, 8.816 Å; angles 102.50, 90.00, 90.00 degrees
Element x y z (fractional)
In (0.250, 0.368, 0.187)
Cl (0.750, 0.650, 0.415)
Cl (0.250, 0.969, 0.659)
Cl (0.750, 0.302, 0.912)
Cl (0.250, 0.698, 0.088)
Cl (0.750, 0.031, 0.341)
Mn (0.750, 0.170, 0.633)
Cl (0.250, 0.350, 0.585)
In (0.750, 0.632, 0.813)
Mn (0.250, 0.830, 0.367)



[14]
TeRh2Br: optimized geometry, PBE.

## Properties
symmetry: Cm, No. 8
total magnetization: 0.0 μB per formula unit
total DFT energy (no corrections): -0.180 hartree per atom

Cell lengths 4.100, 4.100, 7.086 Å; angles 71.09, 71.09, 56.63 degrees
Element x y z (fractional)
Br (0.685, 0.685, 0.827)
Rh (0.271, 0.271, 0.216)
Te (0.528, 0.528, 0.398)
Rh (0.016, 0.016, 0.059)



[15]
Ca2Be2O: optimized geometry, PBE.

## Properties
symmetry: I4/mmm, No. 139
total magnetization: 0.0 μB per formula unit
total DFT energy (no corrections): -0.144 hartree per atom

Cell lengths 3.047, 3.047, 8.290 Å; angles 79.41, 79.41, 90.00 degrees
Element x y z (fractional)
Ca (0.588, 0.588, 0.824)
O (0.000, 0.000, 0.000)
Be (0.750, 0.250, 0.500)
Ca (0.412, 0.412, 0.176)
Be (0.250, 0.750, 0.500)